The following is a PBE with a Hubbard U calculation of a relaxed structure of FeBPbO4, from Alexandria.

Structure (extended XYZ):
```
28
Lattice="6.085 0.000 0.000 0.000 7.294 0.000 0.000 0.000 8.320" Properties=species:S:1:pos:R:3 pbc="T T T"
B 4.564 1.607 2.227
Pb 4.564 3.083 7.151
O 5.764 1.219 1.638
B 1.521 2.040 6.387
O 0.322 6.075 6.682
O 2.721 6.075 6.682
Pb 1.521 4.211 1.169
Fe 0.000 0.000 0.000
B 1.521 5.687 6.094
Fe 0.000 3.647 4.160
O 3.364 1.219 1.638
O 2.721 2.428 5.798
O 0.322 2.428 5.798
Fe 3.043 0.000 0.000
Fe 3.043 3.647 4.160
O 4.564 0.730 7.318
O 5.764 4.866 2.522
O 4.564 4.377 5.162
Pb 1.521 0.564 2.991
O 1.521 2.917 3.158
O 1.521 1.293 7.558
O 4.564 6.001 0.762
O 4.564 2.354 3.398
O 3.364 4.866 2.522
B 4.564 5.254 1.934
Pb 4.564 6.731 5.329
O 1.521 6.565 1.002
O 1.521 4.940 4.922
```

Computed properties:
M_tot: 20.00 μB per cell
V: 13.2 Å³ per atom
DFT total energy: -192.99 eV per cell